Version one
Compound: NdTcPb
Source: the Open Quantum Materials Database
Functional: GGA-PBE
Structure: optimized geometry

For the theoretical density, the calculation gives 8.8 g cm⁻³. The space group is F-43m (216).

```
3
Lattice="0.000 3.487 3.487 3.487 0.000 3.487 3.487 3.487 0.000" Properties=species:S:1:pos:R:3 pbc="T T T"
Nd 0.000 0.000 0.000
Tc 5.230 5.230 5.230
Pb 1.743 1.743 1.743
```

---

Version two
Compound: NdTcPb
Source: the Open Quantum Materials Database
Functional: GGA-PBE
Structure: optimized geometry

For the theoretical density, the calculation gives 9.1 g cm⁻³. The space group is F-43m (216).

```
3
Lattice="0.000 3.444 3.444 3.444 0.000 3.444 3.444 3.444 0.000" Properties=species:S:1:pos:R:3 pbc="T T T"
Tc 5.165 5.165 5.165
Nd 1.722 1.722 1.722
Pb 0.000 0.000 0.000
```

---

What should be chosen as the most stable of them? Choose version two.

---

Version one
Compound: NdTlPb
Source: the Open Quantum Materials Database
Functional: GGA-PBE
Structure: optimized geometry

For the theoretical density, the calculation gives 9.2 g cm⁻³. The space group is F-43m (216).

```
3
Lattice="0.000 3.686 3.686 3.686 0.000 3.686 3.686 3.686 0.000" Properties=species:S:1:pos:R:3 pbc="T T T"
Nd 1.843 1.843 1.843
Pb 5.529 5.529 5.529
Tl 0.000 0.000 0.000
```

---

Version two
Compound: NdTlPb
Source: the Open Quantum Materials Database
Functional: GGA-PBE
Structure: optimized geometry

For the theoretical density, the calculation gives 9.0 g cm⁻³. The space group is F-43m (216).

```
3
Lattice="0.636 -4.849 1.915 -3.611 -3.693 -0.950 1.105 -3.980 -3.243" Properties=species:S:1:pos:R:3 pbc="T T T"
Pb -0.468 -3.130 -0.569
Tl -1.403 -9.391 -1.708
Nd 0.000 0.000 0.000
```

---

What should be chosen as the most stable of them? Choose version two.

---

Version one
Compound: NdYZn2Pb2
Source: the Open Quantum Materials Database
Functional: GGA-PBE
Structure: optimized geometry

For the theoretical density, the calculation gives 8.6 g cm⁻³. The space group is P6_3/mmc (194).

```
12
Lattice="4.619 0.000 0.000 -2.309 4.000 0.000 0.000 0.000 16.317" Properties=species:S:1:pos:R:3 pbc="T T T"
Y 0.000 0.000 4.079
Y 0.000 0.000 12.238
Pb 2.309 1.333 14.459
Pb 0.000 2.667 6.301
Pb 2.309 1.333 10.016
Pb 0.000 2.667 1.858
Nd 0.000 0.000 0.000
Nd 0.000 0.000 8.158
Zn 0.000 2.667 10.866
Zn 2.309 1.333 2.708
Zn 0.000 2.667 13.609
Zn 2.309 1.333 5.450
```

---

Version two
Compound: NdYZn2Pb2
Source: the Open Quantum Materials Database
Functional: GGA-PBE
Structure: optimized geometry

For the theoretical density, the calculation gives 8.5 g cm⁻³. The space group is P6_3/mmc (194).

```
12
Lattice="4.638 0.000 0.000 -2.319 4.017 0.000 0.000 0.000 16.304" Properties=species:S:1:pos:R:3 pbc="T T T"
Nd 0.000 0.000 4.076
Nd 0.000 0.000 12.228
Pb 2.319 1.339 14.536
Pb 0.000 2.678 6.384
Pb 0.000 2.678 1.767
Pb 2.319 1.339 9.919
Y 0.000 0.000 8.152
Y 0.000 0.000 0.000
Zn 0.000 2.678 13.659
Zn 2.319 1.339 2.644
Zn 2.319 1.339 5.507
Zn 0.000 2.678 10.796
```

---

What should be chosen as the most stable of them? Choose version one.

---

Version one
Compound: Pr2NdZn2Si4Pd2
Source: the Open Quantum Materials Database
Functional: GGA-PBE
Structure: optimized geometry

For the theoretical density, the calculation gives 6.7 g cm⁻³. The space group is Immm (71).

```
11
Lattice="-2.093 2.128 12.284 2.093 -2.128 12.284 2.093 2.128 -12.284" Properties=species:S:1:pos:R:3 pbc="T T T"
Si 0.000 0.000 13.467
Si 2.093 0.000 7.466
Si 0.000 2.128 4.818
Si 0.000 0.000 11.101
Pr 2.093 0.000 3.619
Pr 0.000 2.128 8.665
Zn 2.093 0.000 9.899
Zn 0.000 2.128 2.385
Pd 0.000 0.000 6.142
Pd 0.000 0.000 18.426
Nd 0.000 0.000 0.000
```

---

Version two
Compound: Pr2NdZn2Si4Pd2
Source: the Open Quantum Materials Database
Functional: GGA-PBE
Structure: optimized geometry

For the theoretical density, the calculation gives 6.6 g cm⁻³. The space group is Immm (71).

```
11
Lattice="-2.073 2.123 12.571 2.073 -2.123 12.571 2.073 2.123 -12.571" Properties=species:S:1:pos:R:3 pbc="T T T"
Si 0.000 2.123 7.776
Si 0.000 0.000 11.379
Si 0.000 0.000 13.764
Si 2.073 0.000 4.795
Zn 0.000 0.000 18.856
Zn 0.000 0.000 6.286
Pr 2.073 0.000 8.888
Pr 0.000 2.123 3.683
Pd 0.000 2.123 10.196
Pd 2.073 0.000 2.375
Nd 0.000 0.000 0.000
```

---

What should be chosen as the most stable of them? Choose version one.

---

Version one
Compound: Pr3Nd3Te2Pd
Source: the Open Quantum Materials Database
Functional: GGA-PBE
Structure: optimized geometry

For the theoretical density, the calculation gives 7.5 g cm⁻³. The space group is P-62m (189).

```
9
Lattice="-2.010 7.768 -3.560 -1.373 -7.391 -4.532 -3.734 -0.256 1.549" Properties=species:S:1:pos:R:3 pbc="T T T"
Pr -3.378 5.714 -1.903
Pr -2.899 -5.687 -2.634
Pr -2.705 -0.035 -1.231
Nd -0.566 -3.047 -1.868
Nd -0.829 3.203 -1.467
Nd -1.988 0.222 -4.756
Te -3.452 -2.466 -3.433
Te -3.664 2.587 -3.109
Pd 0.000 0.000 0.000
```

---

Version two
Compound: Pr3Nd3Te2Pd
Source: the Open Quantum Materials Database
Functional: GGA-PBE
Structure: optimized geometry

For the theoretical density, the calculation gives 7.5 g cm⁻³. The space group is P-62m (189).

```
9
Lattice="8.768 0.000 0.000 -4.384 7.594 0.000 0.000 0.000 4.056" Properties=species:S:1:pos:R:3 pbc="T T T"
Te 0.000 5.062 2.028
Te 4.384 2.531 2.028
Nd 6.598 0.000 2.028
Nd -3.299 5.714 2.028
Nd 1.085 1.880 2.028
Pr 3.614 0.000 0.000
Pr 2.577 4.464 0.000
Pr -1.807 3.129 0.000
Pd 0.000 0.000 0.000
```

---

What should be chosen as the most stable of them? Choose version two.

---

Version one
Compound: Nd3Zn2Si4Pd2
Source: the Open Quantum Materials Database
Functional: GGA-PBE
Structure: optimized geometry

For the theoretical density, the calculation gives 6.8 g cm⁻³. The space group is Immm (71).

```
11
Lattice="-3.014 -12.257 0.192 -4.689 -10.318 5.560 1.168 11.918 -3.993" Properties=species:S:1:pos:R:3 pbc="T T T"
Nd -3.640 -8.132 0.128
Nd -2.895 -2.524 1.631
Nd 0.000 0.000 0.000
Pd -5.778 -16.933 4.314
Pd -1.925 -5.642 1.437
Si -3.480 -10.197 2.598
Si -4.103 -6.066 2.533
Si -2.432 -4.591 -0.774
Si -4.224 -12.377 3.154
Zn -1.672 -2.364 -1.341
Zn -4.863 -8.293 3.100
```

---

Version two
Compound: Nd3Zn2Si4Pd2
Source: the Open Quantum Materials Database
Functional: GGA-PBE
Structure: optimized geometry

For the theoretical density, the calculation gives 6.7 g cm⁻³. The space group is Immm (71).

```
11
Lattice="-2.061 2.118 12.567 2.061 -2.118 12.567 2.061 2.118 -12.567" Properties=species:S:1:pos:R:3 pbc="T T T"
Pd 0.000 2.118 10.185
Pd 2.061 0.000 2.382
Si 0.000 2.118 7.777
Si 0.000 0.000 11.375
Si 2.061 0.000 4.790
Si 0.000 0.000 13.760
Zn 0.000 0.000 18.849
Zn 0.000 0.000 6.286
Nd 0.000 2.118 3.684
Nd 2.061 0.000 8.884
Nd 0.000 0.000 0.000
```

---

What should be chosen as the most stable of them? Choose version one.

---

Version one
Compound: NdTlPd
Source: the Open Quantum Materials Database
Functional: GGA-PBE
Structure: optimized geometry

For the theoretical density, the calculation gives 10.3 g cm⁻³. The space group is P-62m (189).

```
9
Lattice="7.446 0.000 0.000 -3.723 6.449 0.000 0.000 0.000 4.566" Properties=species:S:1:pos:R:3 pbc="T T T"
Nd -2.121 3.674 0.000
Nd 4.242 0.000 0.000
Nd 1.602 2.775 0.000
Pd 2.839 4.917 2.283
Pd -0.885 1.532 2.283
Pd 1.769 0.000 2.283
Tl 3.723 2.150 2.283
Tl 0.000 0.000 0.000
Tl 0.000 4.299 2.283
```

---

Version two
Compound: NdTlPd
Source: the Open Quantum Materials Database
Functional: GGA-PBE
Structure: optimized geometry

For the theoretical density, the calculation gives 10.5 g cm⁻³. The space group is P-62m (189).

```
9
Lattice="-2.830 -5.243 5.983 5.978 -2.569 -5.381 2.470 1.164 2.189" Properties=species:S:1:pos:R:3 pbc="T T T"
Tl 3.042 -3.460 -1.593
Tl 0.106 -4.351 2.195
Tl 1.235 0.582 1.094
Nd 1.774 -0.762 -1.597
Nd 2.214 -5.494 0.424
Nd -0.840 -1.556 1.775
Pd -0.572 -2.764 4.914
Pd 2.374 -2.243 1.312
Pd 5.052 -1.058 -2.341
```

---

Version three
Compound: NdTlPd
Source: the Open Quantum Materials Database
Functional: GGA-PBE
Structure: optimized geometry

For the theoretical density, the calculation gives 10.3 g cm⁻³. The space group is P6_3/mmc (194).

```
6
Lattice="-0.317 -2.602 -4.479 2.592 -2.039 4.007 -5.290 -2.796 1.999" Properties=species:S:1:pos:R:3 pbc="T T T"
Tl -3.315 -4.511 -0.151
Tl 0.300 -2.925 1.678
Pd -2.645 -1.398 1.000
Pd 0.000 0.000 0.000
Nd -2.345 -4.324 2.678
Nd -0.670 -3.113 -1.150
```

---

Version four
Compound: NdTlPd
Source: the Open Quantum Materials Database
Functional: GGA-PBE
Structure: optimized geometry

For the theoretical density, the calculation gives 10.6 g cm⁻³. The space group is P-62m (189).

```
9
Lattice="-6.336 -1.449 4.159 6.980 -0.855 3.177 -0.084 3.940 1.245" Properties=species:S:1:pos:R:3 pbc="T T T"
Nd 0.222 1.024 3.636
Nd 4.071 1.466 2.494
Nd -3.775 1.116 3.073
Tl 1.788 -0.219 0.814
Tl -1.623 -0.371 1.066
Tl 0.479 -1.713 5.456
Pd -1.897 -1.251 3.832
Pd -0.042 1.970 0.622
Pd 2.541 -1.053 3.504
```

---

What should be chosen as the most stable of them? Choose version four.

---

Version one
Compound: NdZrPd
Source: the Open Quantum Materials Database
Functional: GGA-PBE
Structure: optimized geometry

For the theoretical density, the calculation gives 7.2 g cm⁻³. The space group is F-43m (216).

```
3
Lattice="0.000 3.407 3.407 3.407 0.000 3.407 3.407 3.407 0.000" Properties=species:S:1:pos:R:3 pbc="T T T"
Nd 3.407 3.407 3.407
Zr 0.000 0.000 0.000
Pd 1.703 1.703 1.703
```

---

Version two
Compound: NdZrPd
Source: the Open Quantum Materials Database
Functional: GGA-PBE
Structure: optimized geometry

For the theoretical density, the calculation gives 7.6 g cm⁻³. The space group is F-43m (216).

```
3
Lattice="0.000 3.343 3.343 3.343 0.000 3.343 3.343 3.343 0.000" Properties=species:S:1:pos:R:3 pbc="T T T"
Nd 0.000 0.000 0.000
Pd 1.672 1.672 1.672
Zr 5.015 5.015 5.015
```

---

What should be chosen as the most stable of them? Choose version one.

---

Version one
Compound: PmNd
Source: the Open Quantum Materials Database
Functional: GGA-PBE
Structure: optimized geometry

For the theoretical density, the calculation gives 6.7 g cm⁻³. The space group is F-43m (216).

```
2
Lattice="3.272 -1.924 2.715 -0.344 0.307 4.644 -0.998 -3.798 2.522" Properties=species:S:1:pos:R:3 pbc="T T T"
Nd 0.000 0.000 0.000
Pm 0.483 -1.354 2.470
```

---

Version two
Compound: PmNd
Source: the Open Quantum Materials Database
Functional: GGA-PBE
Structure: optimized geometry

For the theoretical density, the calculation gives 6.9 g cm⁻³. The space group is P-6m2 (187).

```
2
Lattice="-1.591 -2.833 -1.704 3.234 -0.448 1.674 -2.811 -1.453 5.040" Properties=species:S:1:pos:R:3 pbc="T T T"
Nd -2.091 -3.127 3.202
Pm 0.923 -1.606 1.808
```

---

What should be chosen as the most stable of them? Choose version two.

---

Version one
Compound: PrNd
Source: the Open Quantum Materials Database
Functional: GGA-PBE
Structure: optimized geometry

For the theoretical density, the calculation gives 6.5 g cm⁻³. The space group is Fm-3m (225).

```
2
Lattice="0.000 3.316 3.316 3.316 0.000 3.316 3.316 3.316 0.000" Properties=species:S:1:pos:R:3 pbc="T T T"
Pr 3.316 3.316 3.316
Nd 0.000 0.000 0.000
```

---

Version two
Compound: PrNd
Source: the Open Quantum Materials Database
Functional: GGA-PBE
Structure: optimized geometry

For the theoretical density, the calculation gives 6.6 g cm⁻³. The space group is P-6m2 (187).

```
2
Lattice="-1.804 -2.008 2.532 3.656 0.494 0.292 -0.932 4.963 3.272" Properties=species:S:1:pos:R:3 pbc="T T T"
Nd -0.683 2.549 4.239
Pr 1.603 0.901 1.856
```

---

What should be chosen as the most stable of them? Choose version two.

---

Version one
Compound: Pr2Nd
Source: the Open Quantum Materials Database
Functional: GGA-PBE
Structure: optimized geometry

For the theoretical density, the calculation gives 6.4 g cm⁻³. The space group is Fd-3m (227).

```
6
Lattice="0.000 4.792 4.792 4.792 0.000 4.792 4.792 4.792 0.000" Properties=species:S:1:pos:R:3 pbc="T T T"
Pr 3.594 3.594 5.990
Pr 3.594 5.990 3.594
Pr 5.990 3.594 3.594
Pr 5.990 5.990 5.990
Nd 2.396 2.396 2.396
Nd 0.000 0.000 0.000
```

---

Version two
Compound: Pr2Nd
Source: the Open Quantum Materials Database
Functional: GGA-PBE
Structure: optimized geometry

For the theoretical density, the calculation gives 2.5 g cm⁻³. The space group is Fd-3m (227).

```
6
Lattice="-4.923 -7.339 2.877 -0.660 -1.884 9.077 -8.070 1.266 4.433" Properties=species:S:1:pos:R:3 pbc="T T T"
Pr -5.450 -3.926 10.684
Pr -5.120 -2.984 6.145
Pr -9.154 -2.351 8.362
Pr -7.581 -6.654 7.584
Nd -3.413 -1.989 4.097
Nd -6.826 -3.979 8.194
```

---

What should be chosen as the most stable of them? Choose version one.

---

Version one
Compound: PrNdSb2
Source: the Open Quantum Materials Database
Functional: GGA-PBE
Structure: optimized geometry

For the theoretical density, the calculation gives 7.3 g cm⁻³. The space group is P4/nmm (129).

```
8
Lattice="-2.714 -1.510 -3.283 3.607 -1.381 -2.346 -0.576 -10.568 5.336" Properties=species:S:1:pos:R:3 pbc="T T T"
Nd -1.764 -8.225 2.130
Nd 1.634 -3.789 0.391
Sb -0.288 -5.284 2.668
Sb 0.158 -6.730 -0.147
Sb 1.344 -9.121 3.083
Sb -1.474 -2.893 -0.562
Pr 0.446 -1.446 -2.815
Pr 0.000 0.000 0.000
```

---

Version two
Compound: PrNdSb2
Source: the Open Quantum Materials Database
Functional: GGA-PBE
Structure: optimized geometry

For the theoretical density, the calculation gives 6.6 g cm⁻³. The space group is P4/mmm (123).

```
4
Lattice="-2.798 -2.131 -2.869 3.557 -2.018 -1.969 -0.496 -4.896 4.121" Properties=species:S:1:pos:R:3 pbc="T T T"
Sb 0.379 -2.075 -2.419
Sb -0.248 -2.448 2.061
Nd 0.000 0.000 0.000
Pr 0.132 -4.522 -0.358
```

---

What should be chosen as the most stable of them? Choose version two.